No. 1
The following is a DFT calculation (PBE) of a relaxed La2PbAu crystal.

Output
space-group type	No. 160
magnetization	2.2	μB/cell
total DFT energy (no corrections)	-4.44	eV per atom
DOS at the Fermi energy	3.6	states/eV/f.u.

Lattice parameters (Å, degrees): 4.0752 4.0752 27.7942 90.00 90.00 120.00
Fractional coordinates of all 12 atoms:
La: 0.0000 0.0000 0.0000
La: 0.0000 0.0000 0.2228
La: 0.3333 0.6667 0.6667
La: 0.3333 0.6667 0.8895
La: 0.6667 0.3333 0.3333
La: 0.6667 0.3333 0.5561
Pb: 0.0000 0.0000 0.4654
Pb: 0.3333 0.6667 0.1321
Pb: 0.6667 0.3333 0.7988
Au: 0.0000 0.0000 0.7350
Au: 0.3333 0.6667 0.4017
Au: 0.6667 0.3333 0.0683

---

No. 2
The following is a DFT calculation (PBE) of a relaxed LaPb2Au crystal.

Output
space-group type	No. 225
magnetization	0.0	μB/cell
total DFT energy (no corrections)	-4.18	eV per atom
relative energy among the computed polymorphs	281.9	meV/atom
DOS at the Fermi energy	2.6	states/eV/f.u.

Lattice parameters (Å, degrees): 7.6148 7.6148 7.6148 90.00 90.00 90.00
Fractional coordinates of all 16 atoms:
La: 0.0000 0.0000 0.0000
La: 0.0000 0.5000 0.5000
La: 0.5000 0.0000 0.5000
La: 0.5000 0.5000 0.0000
Pb: 0.2500 0.2500 0.2500
Pb: 0.2500 0.2500 0.7500
Pb: 0.2500 0.7500 0.2500
Pb: 0.2500 0.7500 0.7500
Pb: 0.7500 0.2500 0.2500
Pb: 0.7500 0.2500 0.7500
Pb: 0.7500 0.7500 0.2500
Pb: 0.7500 0.7500 0.7500
Au: 0.0000 0.0000 0.5000
Au: 0.0000 0.5000 0.0000
Au: 0.5000 0.0000 0.0000
Au: 0.5000 0.5000 0.5000

---

No. 3
The following is a DFT calculation (PBE) of a relaxed LaPbAu10 crystal.

Output
space-group type	No. 47
magnetization	0.0	μB/cell
total DFT energy (no corrections)	-3.69	eV per atom
DOS at the Fermi energy	5.4	states/eV/f.u.

Lattice parameters (Å, degrees): 4.6926 5.6644 9.7729 90.00 90.00 90.00
Fractional coordinates of all 12 atoms:
La: 0.0000 0.0000 0.0000
Pb: 0.0000 0.5000 0.5000
Au: 0.0000 0.0000 0.3348
Au: 0.0000 0.0000 0.6652
Au: 0.0000 0.5000 0.1682
Au: 0.0000 0.5000 0.8318
Au: 0.5000 0.0000 0.5000
Au: 0.5000 0.2450 0.2439
Au: 0.5000 0.2450 0.7561
Au: 0.5000 0.5000 0.0000
Au: 0.5000 0.7550 0.2439
Au: 0.5000 0.7550 0.7561

---

No. 4
The following is a DFT calculation (PBE) of a relaxed La2PbAu crystal.

Output
space-group type	No. 123
magnetization	0.4	μB/cell
total DFT energy (no corrections)	-4.73	eV per atom
DOS at the Fermi energy	5.5	states/eV/f.u.

Lattice parameters (Å, degrees): 4.5763 4.5763 6.5090 90.00 90.00 90.00
Fractional coordinates of all 4 atoms:
La: 0.0000 0.0000 0.0000
La: 0.5000 0.5000 0.5000
Pb: 0.0000 0.0000 0.5000
Au: 0.5000 0.5000 0.0000

---

No. 5
The following is a DFT calculation (PBE) of a relaxed LaPb2Au crystal.

Output
space-group type	No. 44
magnetization	0.0	μB/cell
total DFT energy (no corrections)	-4.34	eV per atom
relative energy among the computed polymorphs	119.8	meV/atom
DOS at the Fermi energy	2.6	states/eV/f.u.

Lattice parameters (Å, degrees): 4.7941 4.7998 9.6097 90.00 90.00 90.00
Fractional coordinates of all 8 atoms:
La: 0.0000 0.0000 0.0000
La: 0.5000 0.5000 0.5000
Pb: 0.0000 0.0000 0.5012
Pb: 0.0000 0.5000 0.7504
Pb: 0.5000 0.0000 0.2504
Pb: 0.5000 0.5000 0.0012
Au: 0.0000 0.5000 0.2502
Au: 0.5000 0.0000 0.7502

---

No. 6
The following is a DFT calculation (PBE) of a relaxed LaPb2Au crystal.

Output
space-group type	No. 216
magnetization	0.0	μB/cell
total DFT energy (no corrections)	-4.30	eV per atom
relative energy among the computed polymorphs	159.9	meV/atom
DOS at the Fermi energy	2.7	states/eV/f.u.

Lattice parameters (Å, degrees): 7.6862 7.6862 7.6862 90.00 90.00 90.00
Fractional coordinates of all 16 atoms:
La: 0.0000 0.0000 0.0000
La: 0.0000 0.5000 0.5000
La: 0.5000 0.0000 0.5000
La: 0.5000 0.5000 0.0000
Pb: 0.0000 0.0000 0.5000
Pb: 0.0000 0.5000 0.0000
Pb: 0.2500 0.2500 0.2500
Pb: 0.2500 0.7500 0.7500
Pb: 0.5000 0.0000 0.0000
Pb: 0.5000 0.5000 0.5000
Pb: 0.7500 0.2500 0.7500
Pb: 0.7500 0.7500 0.2500
Au: 0.2500 0.2500 0.7500
Au: 0.2500 0.7500 0.2500
Au: 0.7500 0.2500 0.2500
Au: 0.7500 0.7500 0.7500